[1]
Ba2Mg2Tl2Cu3O10: optimized geometry, PBE.

Summary:
**VASP energy**: -100.5 eV for the cell shown

abc: 3.7559 3.7701 18.9221
angles: 95.73 95.51 90.00
Atoms (fractional coordinates):
Mg 0.9607 0.0123 0.9129
Mg 0.0486 0.0974 0.0874
O 0.5733 0.1243 0.1387
O 0.4011 0.9685 0.8246
O 0.3310 0.3895 0.6771
O 0.6613 0.7113 0.3239
O 0.4925 0.0419 0.9755
O 0.9253 0.4872 0.8624
O 0.0177 0.5665 0.0258
O 0.0914 0.6439 0.1767
O 0.2213 0.2186 0.4494
O 0.7703 0.7697 0.5516
Tl 0.7150 0.8126 0.4366
Tl 0.2763 0.3771 0.5643
Ba 0.8518 0.9163 0.7202
Ba 0.1406 0.1959 0.2805
Cu 0.5054 0.5544 0.0005
Cu 0.4161 0.4777 0.8429
Cu 0.5824 0.6339 0.1580

[2]
SrTmO: optimized geometry, PBE.

Summary:
**VASP energy**: -32.5 eV for the cell shown

abc: 3.5971 8.1901 6.0879
angles: 86.15 72.82 77.31
Atoms (fractional coordinates):
O 0.6825 0.6340 0.0009
O 0.3175 0.3660 0.9991
Tm 0.6910 0.4040 0.2140
Tm 0.3090 0.5960 0.7860
Sr 0.0556 0.1590 0.7297
Sr 0.9444 0.8410 0.2703